Run a
Density functional theory data (PBE) for a geometry-optimized CsLaI4 structure.

Computed properties:
Space group   C2/m, No. 12
N(E_F)   0.0 states/eV/f.u.
Crystal system   monoclinic
Size of the total moment   0.00 μB/f.u.

abc: 9.690 9.690 8.416
angles: 93.46 93.46 52.01
Element x y z (fractional)
Cs  0.208  0.208  0.248
Cs  0.792  0.792  0.752
La  0.468  0.468  0.720
La  0.532  0.532  0.280
I  0.168  0.621  0.428
I  0.245  0.755  0.000
I  0.299  0.299  0.827
I  0.379  0.832  0.572
I  0.621  0.168  0.428
I  0.701  0.701  0.173
I  0.755  0.245  0.000
I  0.832  0.379  0.572

Run b
Density functional theory data (PBE) for a geometry-optimized CsLaI4 structure.

Computed properties:
Space group   Cmc2_1, No. 36
N(E_F)   0.0 states/eV/f.u.
Crystal system   orthorhombic
Size of the total moment   0.00 μB/f.u.

abc: 12.153 12.153 8.880
angles: 90.00 90.00 149.51
Element x y z (fractional)
Cs  0.161  0.839  0.500
Cs  0.839  0.161  0.000
La  0.408  0.592  0.564
La  0.592  0.408  0.064
I  0.083  0.917  0.080
I  0.298  0.702  0.757
I  0.340  0.660  0.270
I  0.470  0.530  0.896
I  0.530  0.470  0.396
I  0.660  0.340  0.770
I  0.702  0.298  0.257
I  0.917  0.083  0.580

Which structure loses on stability? run a does.

Run a
Density functional theory data (PBE) for a geometry-optimized Cs2LaI5 structure.

Computed properties:
Space group   Cmcm, No. 63
N(E_F)   0.0 states/eV/f.u.
Crystal system   orthorhombic
Size of the total moment   0.00 μB/f.u.

abc: 10.371 10.371 17.304
angles: 90.00 90.00 143.56
Element x y z (fractional)
Cs  0.143  0.857  0.565
Cs  0.143  0.857  0.935
Cs  0.857  0.143  0.065
Cs  0.857  0.143  0.435
La  0.158  0.842  0.250
La  0.842  0.158  0.750
I  0.044  0.956  0.125
I  0.044  0.956  0.375
I  0.268  0.732  0.114
I  0.268  0.732  0.386
I  0.321  0.679  0.750
I  0.679  0.321  0.250
I  0.732  0.268  0.614
I  0.732  0.268  0.886
I  0.956  0.044  0.625
I  0.956  0.044  0.875

Run b
Density functional theory data (PBE) for a geometry-optimized Cs2LaI5 structure.

Computed properties:
Space group   Pnma, No. 62
N(E_F)   0.0 states/eV/f.u.
Crystal system   orthorhombic
Size of the total moment   0.00 μB/f.u.

abc: 15.485 10.365 9.841
angles: 90.00 90.00 90.00
Element x y z (fractional)
Cs  0.170  0.009  0.080
Cs  0.170  0.491  0.080
Cs  0.330  0.509  0.580
Cs  0.330  0.991  0.580
Cs  0.670  0.009  0.420
Cs  0.670  0.491  0.420
Cs  0.830  0.509  0.920
Cs  0.830  0.991  0.920
La  0.006  0.250  0.572
La  0.494  0.750  0.072
La  0.506  0.250  0.928
La  0.994  0.750  0.428
I  0.013  0.250  0.904
I  0.062  0.547  0.667
I  0.062  0.953  0.667
I  0.183  0.250  0.402
I  0.196  0.750  0.360
I  0.304  0.250  0.860
I  0.317  0.750  0.902
I  0.438  0.047  0.167
I  0.438  0.453  0.167
I  0.487  0.750  0.404
I  0.513  0.250  0.596
I  0.562  0.547  0.833
I  0.562  0.953  0.833
I  0.683  0.250  0.098
I  0.696  0.750  0.140
I  0.804  0.250  0.640
I  0.817  0.750  0.598
I  0.938  0.047  0.333
I  0.938  0.453  0.333
I  0.987  0.750  0.096

Which structure loses on stability? run a does.